Entry from Alexandria via LeMat-Bulk: a PBEsol-optimized structure of Re2SbW (meta-GGA SCAN).

a b c (Å): 3.0123 3.0123 7.1258
angles (deg): 90.00 90.00 90.00
Space group P4mm (No. 99)
One atom of each set of equivalent atoms:
Re1 0.0000 0.0000 0.0000
Re2 0.5000 0.5000 0.2289
Sb1 0.0000 0.0000 0.4909
W1 0.5000 0.5000 0.7599



Entry from Alexandria via LeMat-Bulk: a PBEsol-optimized structure of Re2SbW (meta-GGA SCAN).

a b c (Å): 9.2302 3.0027 4.8147
angles (deg): 90.00 101.14 90.00
Space group C2/m (No. 12)
One atom of each set of equivalent atoms:
Re1 0.2358 0.0000 0.2202
Sb1 0.0000 0.0000 0.5000
W1 0.0000 0.5000 0.0000



Entry from Alexandria via LeMat-Bulk: a PBEsol-optimized structure of YRe3Sb (meta-GGA SCAN).

a b c (Å): 4.7773 4.7773 4.7773
angles (deg): 90.00 90.00 90.00
Space group Pm-3m (No. 221)
One atom of each set of equivalent atoms:
Y1 0.0000 0.0000 0.0000
Re1 0.0000 0.0000 0.5000
Sb1 0.5000 0.5000 0.5000



Entry from Alexandria via LeMat-Bulk: a PBEsol-optimized structure of YReSb2 (meta-GGA SCAN).

a b c (Å): 3.3060 3.3060 7.5376
angles (deg): 90.00 90.00 90.00
Space group P4/mmm (No. 123)
One atom of each set of equivalent atoms:
Y1 0.0000 0.0000 0.0000
Re1 0.0000 0.0000 0.5000
Sb1 0.5000 0.5000 0.2874



Per-record formation energy from raw total energies, eV per atom: 0.476, 0.568, 3.121, -0.025
Per-record Fermi-level density of states, states/eV/atom: 0.571, 0.797, 0.877, 0.564